CaAcCuAg: optimized geometry, PBE.

a b c (Å): 5.345 5.345 5.345
angles (deg): 60.00 60.00 60.00
Fractional positions:
Ac  0.500  0.500  0.500
Cu  0.250  0.250  0.250
Ca  0.000  0.000  0.000
Ag  0.750  0.750  0.750

Summary:
E_form ... -0.184 eV per atom
N(E_F) ... 2.7 states/eV/cell
Offset from the most stable computed form ... 0.027 eV/atom
ρ ... 6.74 g/cm3
Symmetry ... F-43m (216)